(1)
The following is a DFT calculation (PBE) of TaAuSe2 after structural relaxation.

Geometry as POSCAR:
```
TaAuSe2
1.0
-2.3820 0.6099 1.8686
-1.8827 -1.5518 -1.8934
1.6244 -7.4735 4.5097
Au Se Ta
1 2 1
Direct
0.5000 0.5000 0.7166
0.0000 0.0000 0.9564
0.5000 0.5000 0.3287
0.0000 0.0000 0.4984
```

Properties
energy above the most stable polymorph in this dataset: 305 meV per atom
formation energy without anion corrections: -0.46 eV per formula unit
density: 10.51 g/cm³
symmetry: P4mm (99)

(2)
The following is a DFT calculation (PBE) of NaAc2MnS5 after structural relaxation.

Geometry as POSCAR:
```
NaAc2MnS5
1.0
4.1663 0.0000 0.0000
-2.0832 8.5932 0.0000
0.0000 0.0000 12.2419
Na S Ac Mn
2 10 4 2
Direct
0.8094 0.6188 0.5315
0.1906 0.3812 0.0315
0.0206 0.0412 0.0025
0.3493 0.6986 0.0167
0.6749 0.3497 0.8626
0.3251 0.6503 0.3626
0.7015 0.4031 0.1934
0.9794 0.9588 0.5025
0.5073 0.0146 0.2614
0.4927 0.9854 0.7614
0.6507 0.3014 0.5167
0.2985 0.5969 0.6934
0.8762 0.7525 0.1908
0.8659 0.7317 0.8363
0.1341 0.2683 0.3363
0.1238 0.2475 0.6908
0.5503 0.1005 0.9288
0.4497 0.8995 0.4288
```

Properties
formation energy without anion corrections: -13.87 eV per formula unit
density: 5.25 g/cm³
symmetry: Cmc2_1 (36)

(3)
The following is a DFT calculation (PBE) of TbPmHo2Hg4 after structural relaxation.

Geometry as POSCAR:
```
TbPmHo2Hg4
1.0
5.2889 0.0000 0.0000
2.6445 4.5803 0.0000
2.6445 1.5268 8.6568
Pm Ho Hg Tb
1 2 4 1
Direct
0.0000 0.0000 0.0000
0.2497 0.2497 0.2510
0.7503 0.7503 0.7490
0.1263 0.1263 0.6212
0.8737 0.8737 0.3788
0.6235 0.6235 0.1296
0.3765 0.3765 0.8704
0.5000 0.5000 0.5000
```

Properties
total DFT energy (no corrections): -2.94 eV/atom
density: 11.37 g/cm³
symmetry: R-3m (166)

(4)
The following is a DFT calculation (PBE) of Sc2Be2Rh after structural relaxation.

Geometry as POSCAR:
```
Sc2Be2Rh
1.0
-5.7617 2.5595 0.5197
-2.5193 -5.1147 -2.7408
-0.4096 -1.6078 3.3768
Sc Rh Be
4 2 4
Direct
0.3196 0.1804 0.5000
0.6804 0.8196 0.5000
0.1804 0.6804 0.5000
0.8196 0.3196 0.5000
0.0000 0.0000 0.0000
0.5000 0.5000 0.0000
0.6193 0.1193 0.0000
0.3807 0.8807 0.0000
0.8807 0.6193 0.0000
0.1193 0.3807 0.0000
```

Properties
total DFT energy (no corrections): -5.83 eV/atom
density: 4.65 g/cm³
symmetry: P4/mbm (127)

(5)
The following is a DFT calculation (PBE) of PuInAg2 after structural relaxation.

Geometry as POSCAR:
```
PuInAg2
1.0
3.2304 0.1141 -0.0182
1.7140 2.7406 -0.0182
1.5892 0.9175 10.2348
Ag Pu In
2 1 1
Direct
0.0930 0.0930 0.7598
0.2535 0.2535 0.2402
0.4803 0.4803 0.5002
0.6732 0.6732 0.9998
```

Properties
total DFT energy (no corrections): -5.57 eV/atom
density: 10.75 g/cm³
symmetry: Cm (8)

(6)
The following is a DFT calculation (PBE) of CaPuAlGe after structural relaxation.

Geometry as POSCAR:
```
CaPuAlGe
1.0
-1.7027 -4.4553 1.8399
2.1734 -2.0505 4.1480
-2.5556 -0.1285 4.4257
Al Pu Ca Ge
1 1 1 1
Direct
0.0000 0.0000 0.0000
0.7500 0.7500 0.7500
0.2500 0.2500 0.2500
0.5000 0.5000 0.5000
```

Properties
total DFT energy (no corrections): -6.42 eV/atom
density: 6.74 g/cm³
symmetry: F-43m (216)

Number 1: magnetic moment 0.00 μB per formula unit, density of states at the Fermi level 0.47 states/eV/atom. Number 2: magnetic moment 4.00 μB per formula unit, density of states at the Fermi level 0.38 states/eV/atom. Number 3: magnetic moment 0.79 μB per formula unit, density of states at the Fermi level 1.09 states/eV/atom. Number 4: magnetic moment 0.00 μB per formula unit, density of states at the Fermi level 1.01 states/eV/atom. Number 5: magnetic moment 5.83 μB per formula unit, density of states at the Fermi level 1.95 states/eV/atom. Number 6: magnetic moment 5.58 μB per formula unit, density of states at the Fermi level 2.30 states/eV/atom.